# 1
CaIr3Ru PBE optimized geometry; formation energy from the elements = 0.980 eV per atom; ΔE to the lowest computed polymorph = 0.0 meV/atom; V = 108 Å³/cell; D(E_F) = 5.85 states/eV/f.u.; final energy = -0.48449 Ry/atom
1.0
4.758 0.000 0.000
0.000 4.758 0.000
0.000 0.000 4.758
Ir Ru Ca
3 1 1
direct
0.500 0.000 0.000 Ir
0.000 0.500 0.000 Ir
0.000 0.000 0.500 Ir
0.000 0.000 0.000 Ru
0.500 0.500 0.500 Ca

***

# 2
HfBI3 PBE optimized geometry; formation energy from raw total energies = 987 meV/atom; ΔE to the lowest computed polymorph = 230.0 meV/atom; V = 127 Å³/cell; D(E_F) = 4.21 states/eV/f.u.; final energy = -0.24029 Ry/atom
1.0
-4.264 -0.995 2.478
1.777 -4.542 1.234
1.994 1.921 4.201
I B Hf
3 1 1
direct
0.000 0.500 0.000 I
0.500 0.000 0.000 I
0.000 0.000 0.500 I
0.000 0.000 0.000 B
0.500 0.500 0.500 Hf

***

# 3
Mg2CN PBE optimized geometry; formation energy from raw total energies = -145 meV/atom; ΔE to the lowest computed polymorph = 59.7 meV/atom; V = 105 Å³/cell; final energy = -0.39170 Ry/atom
1.0
3.416 0.000 0.000
-0.392 5.393 0.000
-1.348 -1.354 5.701
N Mg C
2 4 2
direct
0.931 0.958 0.516 N
0.524 0.904 0.987 N
0.850 0.218 0.286 Mg
0.345 0.733 0.319 Mg
0.526 0.146 0.718 Mg
0.008 0.674 0.706 Mg
0.673 0.695 0.002 C
0.816 0.482 0.017 C

***

# 4
RbHfNbFe2 PBE optimized geometry; formation energy from the elements = 1.596 eV per atom; V = 129 Å³/cell; D(E_F) = 4.90 states/eV/f.u.; final energy = -0.44006 Ry/atom
1.0
-3.136 3.308 -2.153
-2.313 0.699 4.442
3.204 3.740 1.080
Hf Fe Nb Rb
1 2 1 1
direct
0.000 0.000 0.000 Hf
0.500 0.000 0.000 Fe
0.000 0.000 0.500 Fe
0.000 0.500 0.000 Nb
0.500 0.500 0.500 Rb

***

# 5
RbLa2Au PBE optimized geometry; formation energy from the elements = 0.065 eV per atom; ΔE to the lowest computed polymorph = 0.0 meV/atom; V = 307 Å³/cell; D(E_F) = 2.63 states/eV/f.u.; final energy = -0.25432 Ry/atom
1.0
9.176 0.000 0.000
0.000 9.176 0.000
4.588 4.588 3.648
La Rb Au
4 2 2
direct
0.690 0.125 0.250 La
0.875 0.940 0.750 La
0.375 0.310 0.750 La
0.060 0.625 0.250 La
0.500 0.500 0.000 Rb
0.250 0.750 0.500 Rb
0.000 0.000 0.000 Au
0.750 0.250 0.500 Au

***

# 6
VAs2I PBE optimized geometry; formation energy from raw total energies = 827 meV/atom; ΔE to the lowest computed polymorph = 769.4 meV/atom; V = 83 Å³/cell; D(E_F) = 6.15 states/eV/f.u.; final energy = -0.30615 Ry/atom
1.0
0.960 -0.539 4.779
-2.888 -2.827 2.777
1.667 -4.289 1.697
I As V
1 2 1
direct
0.500 0.500 0.500 I
0.250 0.250 0.250 As
0.750 0.750 0.750 As
0.000 0.000 0.000 V